NbInPt2Cl: optimized geometry, PBE-GGA.

Properties
**Formation energy without anion corrections**: 1.37 eV per atom

CIF file:
```
data_NbInPt2Cl
_chemical_formula_sum 'Nb1 In1 Pt2 Cl1'
_symmetry_space_group_name_H-M 'P 4/m m m'
_symmetry_Int_Tables_number 123
_symmetry_space_group_name_Hall '-P 4 2'
_cell_length_a 4.934
_cell_length_b 4.934
_cell_length_c 5.351
_cell_angle_alpha 90.00
_cell_angle_beta 90.00
_cell_angle_gamma 90.00
loop_
_atom_site_label
_atom_site_type_symbol
_atom_site_fract_x
_atom_site_fract_y
_atom_site_fract_z
_atom_site_occupancy
Nb1 Nb 0.000 0.000 0.000 1
In1 In 0.000 0.000 0.500 1
Pt1 Pt 0.000 0.500 0.500 1
Cl1 Cl 0.500 0.500 0.000 1
```